No. 1
Entry from Alexandria: a relaxed structure of AgHgTeC2 (PBE-GGA).

a = 4.1949 Å, b = 4.1949 Å, c = 6.2017 Å
α = 90.00°, β = 90.00°, γ = 90.00°
With the nearest neighbours (Å) after each atom.
Space group P4/mmm (No. 123)
Inequivalent atoms, fractional coordinates:
Ag1 0.0000 0.0000 0.0000 (multiplicity 1)  4 C 2.10
Hg1 0.5000 0.5000 0.5000 (multiplicity 1)  4 Te 2.97
Te1 0.0000 0.0000 0.5000 (multiplicity 1)  4 Hg 2.97, 2 Ag 3.10
C1 0.0000 0.5000 0.0000 (multiplicity 2)  2 Ag 2.10

V, A^3/atom: 21.83
Total energy, eV/atom: -2.7214

---

No. 2
Entry from Alexandria: a relaxed structure of YAgHgC2 (PBE-GGA).

a = 4.4237 Å, b = 4.4237 Å, c = 5.0006 Å
α = 90.00°, β = 90.00°, γ = 90.00°
With the nearest neighbours (Å) after each atom.
Space group P4/mmm (No. 123)
Inequivalent atoms, fractional coordinates:
Y1 0.0000 0.0000 0.0000 (multiplicity 1)  4 Ag 3.13, 8 C 3.34
Ag1 0.5000 0.5000 0.0000 (multiplicity 1)  2 Hg 2.50
Hg1 0.5000 0.5000 0.5000 (multiplicity 1)  4 C 2.21
C1 0.0000 0.5000 0.5000 (multiplicity 2)  2 Hg 2.21

V, A^3/atom: 19.57
Total energy, eV/atom: -3.6659

---

No. 3
Entry from Alexandria: a relaxed structure of Ho12Ag3C5 (PBE-GGA).

a = 15.6402 Å, b = 15.6402 Å, c = 15.6402 Å
α = 90.00°, β = 90.00°, γ = 90.00°
With the nearest neighbours (Å) after each atom.
Space group Ia-3d (No. 230)
Inequivalent atoms, fractional coordinates:
Ho1 0.0338 0.0525 0.6485 (multiplicity 96)  2 C 2.29-2.52
Ag1 0.0000 0.2500 0.1250 (multiplicity 24)  8 Ho 3.06-3.15
C1 0.0000 0.0000 0.0000 (multiplicity 16)  6 Ho 2.52
C2 0.0000 0.2500 0.3750 (multiplicity 24)  4 Ho 2.29

V, A^3/atom: 23.91
Total energy, eV/atom: -5.5792

---

No. 4
Entry from Alexandria: a relaxed structure of Ho3AgC (PBE-GGA).

a = 4.8683 Å, b = 4.8683 Å, c = 4.8683 Å
α = 90.00°, β = 90.00°, γ = 90.00°
With the nearest neighbours (Å) after each atom.
Space group Pm-3m (No. 221)
Inequivalent atoms, fractional coordinates:
Ho1 0.0000 0.0000 0.5000 (multiplicity 3)  2 C 2.43
Ag1 0.5000 0.5000 0.5000 (multiplicity 1)  12 Ho 3.44
C1 0.0000 0.0000 0.0000 (multiplicity 1)  6 Ho 2.43

V, A^3/atom: 23.08
E above lowest polymorph, eV/atom: 0.0656
Total energy, eV/atom: -5.3831

---

No. 5
Entry from Alexandria: a relaxed structure of Ho2AgC (PBE-GGA).

a = 6.2652 Å, b = 3.6254 Å, c = 7.6756 Å
α = 90.00°, β = 106.06°, γ = 90.00°
With the nearest neighbours (Å) after each atom.
Space group P2_1/m (No. 11)
Inequivalent atoms, fractional coordinates:
Ho1 0.0204 0.2500 0.3162 (multiplicity 2)  3 C 2.48-2.49
Ho2 0.4755 0.2500 0.6759 (multiplicity 2)  3 C 2.46-2.48
Ag1 0.2799 0.2500 0.0013 (multiplicity 2)  6 Ho 3.07-3.26, 2 Ag 3.31
C1 0.2465 0.7500 0.4968 (multiplicity 2)  6 Ho 2.46-2.49

V, A^3/atom: 20.94
E above lowest polymorph, eV/atom: 0.0126
Total energy, eV/atom: -5.5763

---

No. 6
Entry from Alexandria: a relaxed structure of HoAgC (PBE-GGA).

a = 3.3838 Å, b = 3.3838 Å, c = 18.7666 Å
α = 90.00°, β = 90.00°, γ = 90.00°
With the nearest neighbours (Å) after each atom.
Space group I4/mmm (No. 139)
Inequivalent atoms, fractional coordinates:
Ho1 0.0000 0.0000 0.0907 (multiplicity 4)  4 C 2.40
Ag1 0.0000 0.0000 0.2928 (multiplicity 4)  4 Ag 2.88
C1 0.0000 0.5000 0.0000 (multiplicity 4)  4 C 2.39, 4 Ho 2.40

V, A^3/atom: 17.91
Total energy, eV/atom: -5.1282

---

No. 7
Entry from Alexandria: a relaxed structure of Ho3Ag2C (PBE-GGA).

a = 4.9973 Å, b = 14.4263 Å, c = 3.5697 Å
α = 90.00°, β = 90.00°, γ = 90.00°
With the nearest neighbours (Å) after each atom.
Space group Cmmm (No. 65)
Inequivalent atoms, fractional coordinates:
Ho1 0.0000 0.0000 0.0000 (multiplicity 2)  2 C 2.50
Ho2 0.0000 0.3806 0.5000 (multiplicity 4)  2 C 2.48
Ag1 0.0000 0.2037 0.0000 (multiplicity 4)  2 Ag 2.83, 3 Ho 2.94-3.11
C1 0.0000 0.5000 0.0000 (multiplicity 2)  6 Ho 2.48-2.50

V, A^3/atom: 21.45
Total energy, eV/atom: -5.0784

---

No. 8
Entry from Alexandria: a relaxed structure of Ho2AgC (PBE-GGA).

a = 3.6306 Å, b = 3.6306 Å, c = 21.7617 Å
α = 90.00°, β = 90.00°, γ = 120.00°
With the nearest neighbours (Å) after each atom.
Space group R3m (No. 160, hexagonal axes)
Inequivalent atoms, fractional coordinates:
Ho1 0.0000 0.0000 0.0000 (multiplicity 3)  3 C 2.50
Ho2 0.0000 0.0000 0.2114 (multiplicity 3)  3 C 2.46
Ag1 0.0000 0.0000 0.4383 (multiplicity 3)  6 Ho 3.10-3.12
C1 0.0000 0.0000 0.6040 (multiplicity 3)  6 Ho 2.46-2.50

V, A^3/atom: 20.70
E above lowest polymorph, eV/atom: 0.0000
Total energy, eV/atom: -5.5889

---

No. 9
Entry from Alexandria: a relaxed structure of Ho8AgC4 (PBE-GGA).

a = 17.5598 Å, b = 3.6118 Å, c = 12.4075 Å
α = 90.00°, β = 134.93°, γ = 90.00°
With the nearest neighbours (Å) after each atom.
Space group C2/m (No. 12)
Inequivalent atoms, fractional coordinates:
Ho1 0.0449 0.0000 0.2054 (multiplicity 4)  3 C 2.45-2.49
Ho2 0.1481 0.5000 0.8318 (multiplicity 4)  3 C 2.45-2.49
Ho3 0.1588 0.5000 0.1142 (multiplicity 4)  3 C 2.45-2.48
Ho4 0.1847 0.5000 0.5373 (multiplicity 4)  3 C 2.46-2.49
Ag1 0.0000 0.0000 0.5000 (multiplicity 2)  8 Ho 3.44-3.45, 2 Ag 3.61
C1 0.1545 0.0000 0.9763 (multiplicity 4)  6 Ho 2.45-2.49
C2 0.1775 0.5000 0.3323 (multiplicity 4)  6 Ho 2.45-2.49

V, A^3/atom: 21.43
Total energy, eV/atom: -6.1190

---

No. 10
Entry from Alexandria: a relaxed structure of Ho6AgC3 (PBE-GGA).

a = 10.8680 Å, b = 3.5910 Å, c = 11.4520 Å
α = 90.00°, β = 108.27°, γ = 90.00°
With the nearest neighbours (Å) after each atom.
Space group P2_1/m (No. 11)
Inequivalent atoms, fractional coordinates:
Ho1 0.0383 0.2500 0.3818 (multiplicity 2)  4 C 2.52-2.73
Ho2 0.1459 0.7500 0.1397 (multiplicity 2)  2 C 2.46
Ho3 0.2562 0.2500 0.6691 (multiplicity 2)  3 C 2.42-2.55
Ho4 0.3224 0.7500 0.4355 (multiplicity 2)  3 C 2.43-2.44
Ho5 0.3648 0.7500 0.9507 (multiplicity 2)  3 C 2.43-2.48
Ho6 0.4455 0.2500 0.2357 (multiplicity 2)  3 C 2.46-2.49
Ag1 0.1284 0.2500 0.8878 (multiplicity 2)  4 Ho 2.90-3.22
C1 0.1523 0.7500 0.5313 (multiplicity 2)  6 Ho 2.42-2.56
C2 0.2395 0.2500 0.2869 (multiplicity 2)  6 Ho 2.44-2.73
C3 0.4597 0.2500 0.8559 (multiplicity 2)  6 Ho 2.43-2.55

V, A^3/atom: 21.22
Total energy, eV/atom: -6.0706

---

No. 11
Entry from Alexandria: a relaxed structure of Ho4AgC2 (PBE-GGA).

a = 3.5935 Å, b = 3.5935 Å, c = 40.6630 Å
α = 90.00°, β = 90.00°, γ = 120.00°
With the nearest neighbours (Å) after each atom.
Space group R-3m (No. 166, hexagonal axes)
Inequivalent atoms, fractional coordinates:
Ho1 0.0000 0.0000 0.1240 (multiplicity 6)  3 C 2.48
Ho2 0.0000 0.0000 0.2749 (multiplicity 6)  3 C 2.46
Ag1 0.0000 0.0000 0.0000 (multiplicity 3)  6 Ho 3.15
C1 0.0000 0.0000 0.4241 (multiplicity 6)  6 Ho 2.46-2.48

V, A^3/atom: 21.65
E above lowest polymorph, eV/atom: 0.0000
Total energy, eV/atom: -5.9283

---

No. 12
Entry from Alexandria: a relaxed structure of Ho2AgC (PBE-GGA).

a = 3.6342 Å, b = 3.6342 Å, c = 21.9293 Å
α = 90.00°, β = 90.00°, γ = 120.00°
With the nearest neighbours (Å) after each atom.
Space group R-3m (No. 166, hexagonal axes)
Inequivalent atoms, fractional coordinates:
Ho1 0.0000 0.0000 0.2269 (multiplicity 6)  3 C 2.48
Ag1 0.0000 0.0000 0.0000 (multiplicity 3)  6 Ho 3.14
C1 0.0000 0.0000 0.5000 (multiplicity 3)  6 Ho 2.48

V, A^3/atom: 20.90
E above lowest polymorph, eV/atom: 0.0144
Total energy, eV/atom: -5.5746

---

No. 13
Entry from Alexandria: a relaxed structure of Ho3AgC (PBE-GGA).

a = 8.7690 Å, b = 3.5941 Å, c = 14.4163 Å
α = 90.00°, β = 90.00°, γ = 90.00°
With the nearest neighbours (Å) after each atom.
Space group Pnma (No. 62)
Inequivalent atoms, fractional coordinates:
Ho1 0.0114 0.2500 0.1005 (multiplicity 4)  3 C 2.47-2.50
Ho2 0.1800 0.2500 0.5188 (multiplicity 4)  2 C 2.47
Ho3 0.2015 0.7500 0.3098 (multiplicity 4)  1 C 2.39
Ag1 0.0892 0.7500 0.6826 (multiplicity 4)  7 Ho 3.07-3.25
C1 0.1601 0.2500 0.9528 (multiplicity 4)  6 Ho 2.39-2.50

V, A^3/atom: 22.72
E above lowest polymorph, eV/atom: 0.0000
Total energy, eV/atom: -5.4487

---

No. 14
Entry from Alexandria: a relaxed structure of Ho4AgC2 (PBE-GGA).

a = 3.6484 Å, b = 12.2483 Å, c = 12.9587 Å
α = 90.00°, β = 90.00°, γ = 90.00°
With the nearest neighbours (Å) after each atom.
Space group Cmcm (No. 63)
Inequivalent atoms, fractional coordinates:
Ho1 0.0000 0.0000 0.0000 (multiplicity 4)  4 C 2.59
Ho2 0.0000 0.2636 0.1030 (multiplicity 8)  3 C 2.45-2.47
Ho3 0.0000 0.4207 0.7500 (multiplicity 4)  2 C 2.55
Ag1 0.0000 0.1118 0.7500 (multiplicity 4)  6 Ho 2.97-3.05
C1 0.0000 0.3645 0.5606 (multiplicity 8)  6 Ho 2.45-2.59

V, A^3/atom: 20.68
E above lowest polymorph, eV/atom: 0.0329
Total energy, eV/atom: -5.8954

---

No. 15
Entry from Alexandria: a relaxed structure of HoAg2C2O6 (PBE-GGA).

a = 8.9929 Å, b = 5.4983 Å, c = 7.8498 Å
α = 90.00°, β = 120.32°, γ = 90.00°
With the nearest neighbours (Å) after each atom.
Space group C2/m (No. 12)
Inequivalent atoms, fractional coordinates:
Ho1 0.0000 0.0000 0.0000 (multiplicity 2)  6 O 2.20-2.26
Ag1 0.1756 0.0000 0.5899 (multiplicity 4)  2 O 2.60, 1 Ag 2.73
C1 0.0609 0.5000 0.8132 (multiplicity 4)  3 O 1.28-1.30
O1 0.0226 0.2970 0.2112 (multiplicity 8)  1 C 1.30
O2 0.2172 0.5000 0.8530 (multiplicity 4)  1 C 1.28

V, A^3/atom: 15.23
Total energy, eV/atom: -6.7735

---

No. 16
Entry from Alexandria: a relaxed structure of HoAgCO4 (PBE-GGA).

a = 5.5411 Å, b = 7.2561 Å, c = 8.0516 Å
α = 90.00°, β = 90.00°, γ = 90.00°
With the nearest neighbours (Å) after each atom.
Space group Imma (No. 74)
Inequivalent atoms, fractional coordinates:
Ho1 0.0000 0.0000 0.0000 (multiplicity 4)  6 O 2.34-2.40
Ag1 0.2500 0.2500 0.2500 (multiplicity 4)  2 O 2.09
C1 0.0000 0.2500 0.6370 (multiplicity 4)  2 O 1.30
O1 0.0000 0.0924 0.7134 (multiplicity 8)  1 C 1.30
O2 0.2348 0.2500 0.5094 (multiplicity 8)  1 C 1.66

V, A^3/atom: 11.56
Total energy, eV/atom: -6.7279

---

No. 17
Entry from Alexandria: a relaxed structure of HoAgC2O6 (PBE-GGA).

a = 9.3686 Å, b = 8.7148 Å, c = 7.2281 Å
α = 90.00°, β = 119.27°, γ = 90.00°
With the nearest neighbours (Å) after each atom.
Space group C2/c (No. 15)
Inequivalent atoms, fractional coordinates:
Ho1 0.0000 0.0852 0.2500 (multiplicity 4)  6 O 2.24-2.37
Ag1 0.0000 0.4240 0.7500 (multiplicity 4)  2 O 2.21
C1 0.2414 0.1374 0.7763 (multiplicity 8)  3 O 1.27-1.31
O1 0.0950 0.1144 0.6141 (multiplicity 8)  1 C 1.31
O2 0.1570 0.2724 0.2346 (multiplicity 8)  1 C 1.27
O3 0.2290 0.4424 0.0557 (multiplicity 8)  1 C 1.31

V, A^3/atom: 12.87
Total energy, eV/atom: -7.3609

---

No. 18
Entry from Alexandria: a relaxed structure of Ho3AgC4O12 (PBE-GGA).

a = 9.8935 Å, b = 9.8935 Å, c = 9.7330 Å
α = 90.00°, β = 90.00°, γ = 120.00°
With the nearest neighbours (Å) after each atom.
Space group R32 (No. 155, hexagonal axes)
Inequivalent atoms, fractional coordinates:
Ho1 0.0000 0.5346 0.0000 (multiplicity 9)  6 O 2.20-2.39
Ag1 0.0000 0.0000 0.0000 (multiplicity 3)  12 O 3.26-3.46, 6 C 3.29
C1 0.0000 0.0000 0.5000 (multiplicity 3)  3 O 1.30
C2 0.0000 0.4774 0.5000 (multiplicity 9)  3 O 1.28-1.32
O1 0.0000 0.6110 0.5000 (multiplicity 9)  1 C 1.32
O2 0.0000 0.8685 0.5000 (multiplicity 9)  1 C 1.30
O3 0.0361 0.2382 0.7527 (multiplicity 18)  1 C 1.28

V, A^3/atom: 13.75
Total energy, eV/atom: -7.6134